Here is crystalline NaNd2S3 at its relaxed geometry from Alexandria. Energies are from PBE.

abc: 7.0918 7.0918 7.0918
angles: 146.73 132.23 59.45
Sites, in units of the cell vectors:
Na  0.0000  0.0000  0.0000
Nd  0.3367  0.3367  0.0000
Nd  0.6633  0.6633  0.0000
S  0.1697  0.6697  0.5000
S  0.5000  0.0000  0.5000
S  0.8303  0.3303  0.5000

Formation energy (no corrections), eV/atom: -1.87
N(E_F), states/eV per atom: 0.303
Magnetization, μB/cell: 0.00